VASP calculation (PBE-GGA) on crystalline TmCdPb6 at its relaxed geometry.

total magnetization: 0.00 Bohr magnetons per cell
raw total energy: -28.11 eV/f.u.
density of states at the Fermi level: 4.396 states/eV/cell

abc: 5.1392 6.7618 6.7618
angles: 89.93 90.00 90.00
With the nearest neighbours (Å) after each atom.
Element x y z (fractional)
1 Cd 0.5000 0.5000 0.5000  12 Pb 3.38-3.51
2 Tm 0.5000 0.0000 0.0000  12 Pb 3.38-3.53
3 Pb 0.5000 0.0000 0.5000  2 Cd 3.38, 2 Tm 3.38, 8 Pb 3.51
4 Pb 0.0000 0.7496 0.7496  8 Pb 3.36-3.51, 2 Cd 3.51, 2 Tm 3.51
5 Pb 0.0000 0.2504 0.2504  8 Pb 3.36-3.51, 2 Cd 3.51, 2 Tm 3.51
6 Pb 0.0000 0.2528 0.7472  8 Pb 3.36-3.51, 2 Cd 3.49, 2 Tm 3.53
7 Pb 0.5000 0.5000 0.0000  2 Tm 3.38, 2 Cd 3.38, 8 Pb 3.51
8 Pb 0.0000 0.7472 0.2528  8 Pb 3.36-3.51, 2 Cd 3.49, 2 Tm 3.53

***

VASP calculation (PBE-GGA) on crystalline Ce6PuIn at its relaxed geometry.

total magnetization: 1.70 Bohr magnetons per cell
raw total energy: -53.23 eV/f.u.
density of states at the Fermi level: 21.719 states/eV/cell
offset from the most stable computed form: 0.094 eV/atom

abc: 4.7342 4.7342 9.5426
angles: 90.00 90.00 90.00
With the nearest neighbours (Å) after each atom.
Element x y z (fractional)
1 Ce 0.5000 0.0000 0.2579  8 Ce 3.31-3.41, 2 Pu 3.31, 2 In 3.41
2 Ce 0.5000 0.0000 0.7421  8 Ce 3.31-3.41, 2 Pu 3.31, 2 In 3.41
3 Ce 0.5000 0.5000 0.0000  4 In 3.35, 8 Ce 3.41
4 Ce 0.0000 0.5000 0.7421  8 Ce 3.31-3.41, 2 Pu 3.31, 2 In 3.41
5 Ce 0.5000 0.5000 0.5000  8 Ce 3.31, 4 Pu 3.35
6 Ce 0.0000 0.5000 0.2579  8 Ce 3.31-3.41, 2 Pu 3.31, 2 In 3.41
7 In 0.0000 0.0000 0.0000  12 Ce 3.35-3.41
8 Pu 0.0000 0.0000 0.5000  12 Ce 3.31-3.35